[1]
Material: KAg3SnSe4
Method: DFT, GGA-PBE
State: relaxed

POSCAR file:
```
KAg3SnSe4
1.0
6.646 0.000 0.000
0.000 6.646 0.000
0.000 0.000 6.646
K Ag Sn Se
1 3 1 4
direct
0.000 0.000 0.000
0.000 0.500 0.500
0.500 0.000 0.500
0.500 0.500 0.000
0.500 0.500 0.500
0.278 0.278 0.278
0.278 0.722 0.722
0.722 0.278 0.722
0.722 0.722 0.278
```

## Properties
raw total energy: -3.399 eV/atom
V: 293.58 Å³/f.u.
space-group type: No. 215


[2]
Material: K3AgSn3Se8
Method: DFT, GGA-PBE
State: relaxed

POSCAR file:
```
K3AgSn3Se8
1.0
8.313 0.000 0.000
0.000 8.313 0.000
0.000 0.000 13.659
K Ag Sn Se
6 2 6 16
direct
0.250 0.250 0.000
0.250 0.250 0.274
0.250 0.250 0.726
0.750 0.750 0.000
0.750 0.750 0.274
0.750 0.750 0.726
0.250 0.750 0.000
0.750 0.250 0.000
0.250 0.750 0.240
0.250 0.750 0.500
0.250 0.750 0.760
0.750 0.250 0.240
0.750 0.250 0.500
0.750 0.250 0.760
0.072 0.572 0.138
0.072 0.928 0.862
0.086 0.586 0.626
0.086 0.914 0.374
0.414 0.586 0.374
0.414 0.914 0.626
0.428 0.572 0.862
0.428 0.928 0.138
0.572 0.072 0.862
0.572 0.428 0.138
0.586 0.086 0.374
0.586 0.414 0.626
0.914 0.086 0.626
0.914 0.414 0.374
0.928 0.072 0.138
0.928 0.428 0.862
```

## Properties
raw total energy: -3.741 eV/atom
V: 471.99 Å³/f.u.
space-group type: No. 125


[3]
Material: KAgSnTe2Se
Method: DFT, GGA-PBE
State: relaxed

POSCAR file:
```
KAgSnTe2Se
1.0
2.251 -6.607 0.000
2.251 6.607 0.000
0.000 0.000 11.894
K Ag Sn Te Se
2 2 2 4 2
direct
0.225 0.775 0.750
0.775 0.225 0.250
0.068 0.932 0.250
0.932 0.068 0.750
0.500 0.500 0.000
0.500 0.500 0.500
0.157 0.843 0.031
0.157 0.843 0.469
0.843 0.157 0.531
0.843 0.157 0.969
0.464 0.536 0.250
0.536 0.464 0.750
```

## Properties
raw total energy: -3.367 eV/atom
V: 176.93 Å³/f.u.
space-group type: No. 63


[4]
Material: KTaAgSe3
Method: DFT, GGA-PBE
State: relaxed

POSCAR file:
```
KTaAgSe3
1.0
1.894 -7.616 0.000
1.894 7.616 0.000
0.000 0.000 10.294
K Ta Ag Se
2 2 2 6
direct
0.245 0.755 0.750
0.755 0.245 0.250
0.000 0.000 0.000
0.000 0.000 0.500
0.453 0.547 0.250
0.547 0.453 0.750
0.071 0.929 0.250
0.378 0.622 0.029
0.378 0.622 0.471
0.622 0.378 0.529
0.622 0.378 0.971
0.929 0.071 0.750
```

## Properties
raw total energy: -4.977 eV/atom
V: 148.47 Å³/f.u.
space-group type: No. 63


[5]
Material: K3Ta2Ag3Se8
Method: DFT, GGA-PBE
State: relaxed

POSCAR file:
```
K3Ta2Ag3Se8
1.0
12.743 -3.077 0.000
12.743 3.077 0.000
-7.203 0.000 12.684
K Ta Ag Se
6 4 6 16
direct
0.000 0.000 0.000
0.000 0.000 0.500
0.230 0.380 0.893
0.380 0.230 0.393
0.620 0.770 0.607
0.770 0.620 0.107
0.177 0.566 0.218
0.434 0.823 0.282
0.566 0.177 0.718
0.823 0.434 0.782
0.065 0.676 0.708
0.308 0.692 0.250
0.324 0.935 0.792
0.676 0.065 0.208
0.692 0.308 0.750
0.935 0.324 0.292
0.002 0.195 0.892
0.084 0.235 0.681
0.195 0.002 0.392
0.235 0.084 0.181
0.266 0.303 0.601
0.303 0.266 0.101
0.424 0.483 0.851
0.483 0.424 0.351
0.517 0.576 0.649
0.576 0.517 0.149
0.697 0.734 0.899
0.734 0.697 0.399
0.765 0.916 0.819
0.805 0.998 0.608
0.916 0.765 0.319
0.998 0.805 0.108
```

## Properties
raw total energy: -4.780 eV/atom
V: 497.37 Å³/f.u.
space-group type: No. 15


[6]
Material: KTaAgTe2Se
Method: DFT, GGA-PBE
State: relaxed

POSCAR file:
```
KTaAgTe2Se
1.0
2.006 -7.930 0.000
2.006 7.930 0.000
0.000 0.000 10.551
K Ta Ag Te Se
2 2 2 4 2
direct
0.249 0.751 0.750
0.751 0.249 0.250
0.000 0.000 0.000
0.000 0.000 0.500
0.456 0.544 0.250
0.544 0.456 0.750
0.372 0.628 0.027
0.372 0.628 0.473
0.628 0.372 0.527
0.628 0.372 0.973
0.063 0.937 0.250
0.937 0.063 0.750
```

## Properties
raw total energy: -4.663 eV/atom
V: 167.83 Å³/f.u.
space-group type: No. 63


Look up the V of the first one. 293.58 Å³/f.u.